# PmTaPO PBE relaxed
data_PmTaPO
_chemical_formula_sum 'Pm2 Ta2 P2 O2'
_cell_length_a 4.136
_cell_length_b 4.136
_cell_length_c 7.732
_cell_angle_alpha 90.00
_cell_angle_beta 90.00
_cell_angle_gamma 90.00
_space_group_name_H-M_alt 'P 4/n m m'
_space_group_IT_number 129
loop_
_space_group_symop_operation_xyz
'x,y,z'
'-x,-y,-z'
'-y+1/2,x,z'
'y+1/2,-x,-z'
'-x+1/2,-y+1/2,z'
'x+1/2,y+1/2,-z'
'y,-x+1/2,z'
'-y,x+1/2,-z'
'x+1/2,-y,-z'
'-x+1/2,y,z'
'-y,-x,-z'
'y,x,z'
'-x,y+1/2,-z'
'x,-y+1/2,z'
'y+1/2,x+1/2,-z'
'-y+1/2,-x+1/2,z'
loop_
_atom_site_label
_atom_site_type_symbol
_atom_site_fract_x
_atom_site_fract_y
_atom_site_fract_z
Pm1 Pm 0.250 0.750 0.000
Ta1 Ta 0.250 0.250 0.401
P1 P 0.250 0.250 0.742
O1 O 0.250 0.750 0.500
# - Calculated density: 9.4 g cm⁻³
# - Total magnetization: 0.0 μB/f.u.
# - Crystal system: tetragonal
# - ΔE to the lowest computed polymorph: 1.130 eV/atom